Record 1
DFT (PBE) results for a relaxed NaZn2Ga4Ag crystal.

Properties
E	-56.445	eV for the cell shown
magnetic moment	0.00	Bohr magnetons per cell
crystal system	trigonal
ΔH_f (0 K)	1	meV/atom

abc: 4.4056 4.4056 28.3619
angles: 90.00 90.00 120.00
Last column: nearest neighbours and their distance in Å.
Space group R-3m (No. 166, hexagonal axes)
Inequivalent atoms, fractional coordinates:
Na 0.0000 0.0000 0.0000  8 Ga 3.18-3.49, 6 Zn 3.50
Zn 0.0000 0.0000 0.2488  6 Ga 2.59-2.77
Ga 0.0000 0.0000 0.1229  3 Zn 2.77, 3 Ag 2.83, 3 Ga 3.00
Ga 0.0000 0.0000 0.4004  3 Zn 2.59, 1 Ag 2.83
Ag 0.0000 0.0000 0.5000  8 Ga 2.83

---

Record 2
DFT (PBE) results for a relaxed Na2ZnGa5Ag2 crystal.

Properties
E	-49.994	eV for the cell shown
magnetic moment	0.00	Bohr magnetons per cell
crystal system	tetragonal
ΔH_f (0 K)	-25	meV/atom

abc: 10.1665 10.1665 3.8970
angles: 90.00 90.00 90.00
Last column: nearest neighbours and their distance in Å.
Space group P4/mbm (No. 127)
Inequivalent atoms, fractional coordinates:
Na 0.1760 0.3240 0.0000  3 Ag 2.85-3.11
Zn 0.0000 0.0000 0.0000  8 Ga 2.77
Ga 0.0000 0.5000 0.5000  4 Ag 2.66
Ga 0.0556 0.8141 0.5000  2 Zn 2.77, 2 Ga 2.79, 2 Ag 2.82
Ag 0.1260 0.6260 0.0000  6 Ga 2.66-2.82, 1 Na 2.85

---

Record 3
DFT (PBE) results for a relaxed NaZnGaAg crystal.

Properties
E	-33.816	eV for the cell shown
magnetic moment	0.00	Bohr magnetons per cell
crystal system	cubic
ΔH_f (0 K)	4	meV/atom

abc: 6.6581 6.6581 6.6581
angles: 90.00 90.00 90.00
Last column: nearest neighbours and their distance in Å.
Space group F-43m (No. 216)
Inequivalent atoms, fractional coordinates:
Na 0.0000 0.0000 0.0000  4 Zn 2.88, 4 Ag 2.88
Zn 0.2500 0.2500 0.2500  4 Na 2.88, 4 Ga 2.88
Ga 0.0000 0.0000 0.5000  4 Zn 2.88, 4 Ag 2.88
Ag 0.2500 0.2500 0.7500  4 Na 2.88, 4 Ga 2.88

---

Record 4
DFT (PBE) results for a relaxed Na2ZnGa2Ag5 crystal.

Properties
E	-49.640	eV for the cell shown
magnetic moment	0.00	Bohr magnetons per cell
crystal system	tetragonal
ΔH_f (0 K)	-60	meV/atom

abc: 11.0919 11.0919 3.1968
angles: 90.00 90.00 90.00
Last column: nearest neighbours and their distance in Å.
Space group P4/mbm (No. 127)
Inequivalent atoms, fractional coordinates:
Na 0.1715 0.3285 0.0000  1 Ga 3.03, 6 Ag 3.13-3.38, 2 Na 3.20
Zn 0.0000 0.0000 0.0000  8 Ag 2.70
Ga 0.1351 0.6351 0.0000  6 Ag 2.65-2.68
Ag 0.0000 0.5000 0.5000  4 Ga 2.65
Ag 0.0603 0.8138 0.5000  2 Ga 2.68, 2 Zn 2.70

---

Record 5
DFT (PBE) results for a relaxed NbGa2Ag crystal.

Properties
E	-54.204	eV for the cell shown
magnetic moment	0.00	Bohr magnetons per cell
crystal system	trigonal
ΔH_f (0 K)	227	meV/atom

abc: 2.9260 2.9260 29.9102
angles: 90.00 90.00 120.00
Last column: nearest neighbours and their distance in Å.
Space group R-3m (No. 166, hexagonal axes)
Inequivalent atoms, fractional coordinates:
Nb 0.0000 0.0000 0.0000  2 Ga 2.69, 6 Nb 2.93
Ga 0.0000 0.0000 0.0901  1 Nb 2.69, 3 Ag 2.85, 6 Ga 2.93
Ag 0.0000 0.0000 0.5000  6 Ga 2.85, 6 Ag 2.93

---

Record 6
DFT (PBE) results for a relaxed Nb2Ga2Ag crystal.

Properties
E	-57.341	eV for the cell shown
magnetic moment	0.00	Bohr magnetons per cell
crystal system	tetragonal
ΔH_f (0 K)	75	meV/atom

abc: 7.9730 7.9730 2.9052
angles: 90.00 90.00 90.00
Last column: nearest neighbours and their distance in Å.
Space group P4/mbm (No. 127)
Inequivalent atoms, fractional coordinates:
Nb 0.1185 0.3815 0.0000  3 Nb 2.67-2.91, 6 Ga 2.70-2.82
Ga 0.1791 0.6791 0.5000  6 Nb 2.70-2.82, 2 Ga 2.91
Ag 0.0000 0.0000 0.0000  2 Ag 2.91, 4 Nb 3.18

---

Record 7
DFT (PBE) results for a relaxed NbGa2Ag crystal.

Properties
E	-19.644	eV for the cell shown
magnetic moment	0.00	Bohr magnetons per cell
crystal system	tetragonal
ΔH_f (0 K)	-167	meV/atom

abc: 4.1852 4.1852 3.7981
angles: 90.00 90.00 90.00
Last column: nearest neighbours and their distance in Å.
Space group P4/mmm (No. 123)
Inequivalent atoms, fractional coordinates:
Nb 0.0000 0.0000 0.0000  8 Ga 2.83, 4 Ag 2.96
Ga 0.0000 0.5000 0.5000  4 Nb 2.83, 4 Ag 2.83, 4 Ga 2.96
Ag 0.5000 0.5000 0.0000  8 Ga 2.83, 4 Nb 2.96

---

Record 8
DFT (PBE) results for a relaxed NbGa2Ag crystal.

Properties
E	-74.112	eV for the cell shown
magnetic moment	3.97	Bohr magnetons per cell
crystal system	cubic
ΔH_f (0 K)	112	meV/atom

abc: 6.4671 6.4671 6.4671
angles: 90.00 90.00 90.00
Last column: nearest neighbours and their distance in Å.
Space group Fm-3m (No. 225)
Inequivalent atoms, fractional coordinates:
Nb 0.0000 0.0000 0.0000  8 Ga 2.80
Ga 0.2500 0.2500 0.2500  4 Ag 2.80, 4 Nb 2.80
Ag 0.0000 0.0000 0.5000  8 Ga 2.80